Computed, not measured: crystalline Ag2OsW at its relaxed geometry at the PBE-GGA level of DFT.

Unit cell a=5.144 b=5.144 c=4.744 alpha=80.99 beta=80.99 gamma=31.49
Fractional positions:
Os 0.750 0.750 0.750
Ag 0.001 0.001 0.000
Ag 0.499 0.499 0.500
W 0.250 0.250 0.250

- Polymorph energy (0 for the lowest one): 0.312 eV/atom
- Crystal system: monoclinic
- SG: C2/m
- Energy relative to the elements: 599.5 meV/atom
- Calculated volume: 64.7 Å³/cell
- VASP energy: -6.8719 eV/atom
- Fermi-level density of states: 2.99 states/eV per cell